(1)
Material: TaFeOs3
Method: DFT, PBE
State: relaxed

**Energy relative to the elements**: 1.451 eV per atom
**Density**: 15.936 Mg/m³
**Energy relative to the lowest polymorph listed for this composition**: 0.00 kcal/mol of atoms

Cell: 4.382 4.382 4.382 Å, 90.00 90.00 90.00°
Element x y z (fractional)
Ta  0.000  0.000  0.000
Fe  0.500  0.500  0.500
Os  0.000  0.500  0.500
Os  0.500  0.000  0.500
Os  0.500  0.500  0.000

(2)
Material: NpPa2MnN5
Method: DFT, PBE
State: relaxed

**Uncorrected formation energy**: -25.723 kcal/mol of atoms
**Density**: 11.514 Mg/m³

Cell: 6.531 6.531 5.573 Å, 90.00 90.00 90.00°
Element x y z (fractional)
Np  0.000  0.000  0.000
Np  0.500  0.500  0.000
Pa  0.170  0.330  0.500
Pa  0.330  0.830  0.500
Pa  0.670  0.170  0.500
Pa  0.830  0.670  0.500
Mn  0.000  0.500  0.000
Mn  0.500  0.000  0.000
N  0.000  0.000  0.500
N  0.150  0.650  0.235
N  0.150  0.650  0.765
N  0.350  0.150  0.235
N  0.350  0.150  0.765
N  0.500  0.500  0.500
N  0.650  0.850  0.235
N  0.650  0.850  0.765
N  0.850  0.350  0.235
N  0.850  0.350  0.765

(3)
Material: LiAlGeO4
Method: DFT, PBE
State: relaxed

**Uncorrected formation energy**: -52.743 kcal/mol of atoms
**Density**: 4.169 Mg/m³
**Energy relative to the lowest polymorph listed for this composition**: 0.66 kcal/mol of atoms

Cell: 5.767 5.767 5.767 Å, 120.16 119.59 90.22°
Element x y z (fractional)
Li  0.383  0.133  0.250
Li  0.617  0.867  0.750
Al  0.000  0.000  0.500
Al  0.000  0.500  0.000
Ge  0.000  0.500  0.500
Ge  0.500  0.500  0.000
O  0.205  0.734  0.471
O  0.237  0.266  0.971
O  0.239  0.263  0.524
O  0.239  0.716  0.976
O  0.761  0.284  0.024
O  0.761  0.737  0.476
O  0.763  0.734  0.029
O  0.795  0.266  0.529

(4)
Material: Zr2AsRu
Method: DFT, PBE
State: relaxed

**Energy relative to the elements**: -0.256 eV per atom
**Density**: 7.551 Mg/m³

Cell: 5.939 5.939 5.939 Å, 104.81 104.81 119.26°
Element x y z (fractional)
Zr  0.114  0.125  0.489
Zr  0.375  0.886  0.011
Zr  0.636  0.625  0.511
Zr  0.875  0.364  0.989
As  0.250  0.750  0.500
As  0.500  0.500  0.000
Ru  0.000  0.000  0.000
Ru  0.750  0.250  0.500

(5)
Material: NdSc2Pt
Method: DFT, PBE
State: relaxed

**Energy relative to the elements**: -0.604 eV per atom
**Density**: 7.577 Mg/m³
**Energy relative to the lowest polymorph listed for this composition**: 0.00 kcal/mol of atoms

Cell: 3.388 3.388 8.194 Å, 90.00 90.00 90.00°
Element x y z (fractional)
Nd  0.000  0.000  0.000
Sc  0.500  0.500  0.312
Sc  0.500  0.500  0.688
Pt  0.000  0.000  0.500

(6)
Material: Pa2ZnPt2
Method: DFT, PBE
State: relaxed

**Energy relative to the elements**: -0.795 eV per atom
**Density**: 14.103 Mg/m³
**Energy relative to the lowest polymorph listed for this composition**: 0.00 kcal/mol of atoms

Cell: 7.631 7.631 3.710 Å, 90.00 90.00 90.00°
Element x y z (fractional)
Pa  0.175  0.325  0.000
Pa  0.325  0.825  0.000
Pa  0.675  0.175  0.000
Pa  0.825  0.675  0.000
Zn  0.000  0.000  0.500
Zn  0.500  0.500  0.500
Pt  0.133  0.633  0.500
Pt  0.367  0.133  0.500
Pt  0.633  0.867  0.500
Pt  0.867  0.367  0.500

(7)
Material: Mn2CoPb
Method: DFT, PBE
State: relaxed

**Energy relative to the elements**: 0.421 eV per atom
**Density**: 9.613 Mg/m³
**Energy relative to the lowest polymorph listed for this composition**: 2.43 kcal/mol of atoms

Cell: 3.247 3.247 6.160 Å, 90.00 90.00 90.00°
Element x y z (fractional)
Mn  0.000  0.000  0.000
Mn  0.500  0.500  0.224
Co  0.500  0.500  0.814
Pb  0.000  0.000  0.526

(8)
Material: CuSiAu
Method: DFT, PBE
State: relaxed

**Uncorrected formation energy**: 0.600 kcal/mol of atoms
**Density**: 9.811 Mg/m³
**Energy relative to the lowest polymorph listed for this composition**: 0.87 kcal/mol of atoms

Cell: 4.103 4.103 4.103 Å, 60.00 60.00 60.00°
Element x y z (fractional)
Cu  0.000  0.000  0.000
Si  0.250  0.250  0.250
Au  0.500  0.500  0.500